{
  "formula": "LiUZn2O6",
  "functional": "PBE",
  "state": "optimized geometry",
  "lattice_angstrom": [[5.387, 0.000, 0.000], [2.594, 4.766, 0.000], [1.168, 1.860, 4.964]],
  "species": ["Li", "U", "Zn", "Zn", "O", "O", "O", "O", "O", "O"],
  "frac_coords": [[0.000, 0.000, 0.000], [0.343, 0.173, 0.345], [0.675, 0.516, 0.339], [0.999, 0.689, 0.704], [0.006, 0.587, 0.095], [0.016, 0.084, 0.596], [0.340, 0.407, 0.564], [0.342, 0.951, 0.132], [0.654, 0.284, 0.131], [0.669, 0.746, 0.561]],
  "total_magnetization_mub_per_cell": 0.00,
  "vol_a3_per_atom": 12.75,
  "formation_energy_uncorrected_kj_per_mol_fu": -1920.5,
  "total_energy_ev_per_atom": -6.54
}

***

{
  "formula": "AlCoReMo",
  "functional": "PBE",
  "state": "optimized geometry",
  "lattice_angstrom": [[6.070, 0.000, 0.000], [0.000, 6.070, 0.000], [0.000, 0.000, 6.070]],
  "species": ["Al", "Al", "Al", "Al", "Co", "Co", "Co", "Co", "Re", "Re", "Re", "Re", "Mo", "Mo", "Mo", "Mo"],
  "frac_coords": [[0.000, 0.000, 0.000], [0.000, 0.500, 0.500], [0.500, 0.000, 0.500], [0.500, 0.500, 0.000], [0.250, 0.250, 0.250], [0.250, 0.750, 0.750], [0.750, 0.250, 0.750], [0.750, 0.750, 0.250], [0.250, 0.250, 0.750], [0.250, 0.750, 0.250], [0.750, 0.250, 0.250], [0.750, 0.750, 0.750], [0.000, 0.000, 0.500], [0.000, 0.500, 0.000], [0.500, 0.000, 0.000], [0.500, 0.500, 0.500]],
  "total_magnetization_mub_per_cell": 3.82,
  "vol_a3_per_atom": 13.98,
  "total_energy_ev_per_atom": -8.66
}

***

{
  "formula": "LiTm3Cu2",
  "functional": "PBE",
  "state": "optimized geometry",
  "lattice_angstrom": [[3.461, 0.000, 0.000], [0.000, 3.461, 0.000], [0.000, 0.000, 10.641]],
  "species": ["Li", "Tm", "Tm", "Tm", "Cu", "Cu"],
  "frac_coords": [[0.000, 0.000, 0.000], [0.500, 0.500, 0.185], [0.500, 0.500, 0.500], [0.500, 0.500, 0.815], [0.000, 0.000, 0.335], [0.000, 0.000, 0.665]],
  "total_magnetization_mub_per_cell": 0.00,
  "vol_a3_per_atom": 21.25,
  "total_energy_ev_per_atom": -4.07
}

***

{
  "formula": "ScBeCl",
  "functional": "PBE",
  "state": "optimized geometry",
  "lattice_angstrom": [[4.353, 0.000, 0.000], [-2.176, 3.770, 0.000], [0.000, 0.000, 3.471]],
  "species": ["Sc", "Be", "Cl"],
  "frac_coords": [[0.000, 0.000, 0.000], [0.667, 0.333, 0.500], [0.333, 0.667, 0.000]],
  "total_magnetization_mub_per_cell": 0.00,
  "vol_a3_per_atom": 18.98,
  "formation_energy_uncorrected_kj_per_mol_fu": -3.4,
  "e_above_lowest_polymorph_mev_per_atom": 350,
  "total_energy_ev_per_atom": -3.98
}

***

{
  "formula": "PIr2Se",
  "functional": "PBE",
  "state": "optimized geometry",
  "lattice_angstrom": [[2.828, 0.000, 0.000], [0.000, 4.397, 0.000], [0.000, 0.000, 4.933]],
  "species": ["P", "Ir", "Ir", "Se"],
  "frac_coords": [[0.000, 0.000, 0.000], [0.000, 0.500, 0.500], [0.500, 0.500, 0.000], [0.500, 0.000, 0.500]],
  "total_magnetization_mub_per_cell": 0.00,
  "vol_a3_per_atom": 15.33,
  "formation_energy_uncorrected_kj_per_mol_fu": 208.0,
  "total_energy_ev_per_atom": -6.12
}

***

{
  "formula": "BaTl2HgPd",
  "functional": "PBE",
  "state": "optimized geometry",
  "lattice_angstrom": [[5.579, 0.000, 0.000], [0.000, 5.579, 0.000], [0.000, 0.000, 6.430]],
  "species": ["Ba", "Tl", "Tl", "Hg", "Pd"],
  "frac_coords": [[0.000, 0.000, 0.000], [0.000, 0.500, 0.500], [0.500, 0.000, 0.500], [0.000, 0.000, 0.500], [0.500, 0.500, 0.000]],
  "total_magnetization_mub_per_cell": 0.00,
  "vol_a3_per_atom": 40.02,
  "e_above_lowest_polymorph_mev_per_atom": 684,
  "total_energy_ev_per_atom": -2.08
}

***

{
  "formula": "La2NiP3Pt12",
  "functional": "PBE",
  "state": "optimized geometry",
  "lattice_angstrom": [[4.096, 2.365, 6.126], [-4.096, 2.365, 6.126], [0.000, -4.730, 6.126]],
  "species": ["La", "La", "Ni", "P", "P", "P", "Pt", "Pt", "Pt", "Pt", "Pt", "Pt", "Pt", "Pt", "Pt", "Pt", "Pt", "Pt"],
  "frac_coords": [[0.122, 0.122, 0.122], [0.878, 0.878, 0.878], [0.500, 0.500, 0.500], [0.000, 0.500, 0.500], [0.500, 0.000, 0.500], [0.500, 0.500, 0.000], [0.135, 0.617, 0.617], [0.154, 0.154, 0.603], [0.154, 0.603, 0.154], [0.383, 0.383, 0.865], [0.383, 0.865, 0.383], [0.397, 0.846, 0.846], [0.603, 0.154, 0.154], [0.617, 0.135, 0.617], [0.617, 0.617, 0.135], [0.846, 0.397, 0.846], [0.846, 0.846, 0.397], [0.865, 0.383, 0.383]],
  "total_magnetization_mub_per_cell": 0.01,
  "vol_a3_per_atom": 19.78,
  "total_energy_ev_per_atom": -6.24
}

***

{
  "formula": "TlAg2Hg",
  "functional": "PBE",
  "state": "optimized geometry",
  "lattice_angstrom": [[4.718, 0.000, 0.000], [0.000, 4.718, 0.000], [0.000, 0.000, 3.915]],
  "species": ["Tl", "Ag", "Ag", "Hg"],
  "frac_coords": [[0.000, 0.000, 0.000], [0.000, 0.500, 0.500], [0.500, 0.000, 0.500], [0.500, 0.500, 0.000]],
  "total_magnetization_mub_per_cell": 0.00,
  "vol_a3_per_atom": 21.78,
  "total_energy_ev_per_atom": -1.96
}

***

{
  "formula": "TaP2Os",
  "functional": "PBE",
  "state": "optimized geometry",
  "lattice_angstrom": [[7.345, 0.000, 0.000], [0.000, 3.008, 0.000], [-1.123, 0.000, 5.335]],
  "species": ["Ta", "Ta", "P", "P", "P", "P", "Os", "Os"],
  "frac_coords": [[0.000, 0.000, 0.000], [0.500, 0.500, 0.000], [0.247, 0.000, 0.722], [0.253, 0.500, 0.278], [0.747, 0.500, 0.722], [0.753, 0.000, 0.278], [0.000, 0.500, 0.500], [0.500, 0.000, 0.500]],
  "total_magnetization_mub_per_cell": 0.00,
  "vol_a3_per_atom": 14.73,
  "e_above_lowest_polymorph_mev_per_atom": 204,
  "total_energy_ev_per_atom": -8.59
}

***

{
  "formula": "Dy2YAg",
  "functional": "PBE",
  "state": "optimized geometry",
  "lattice_angstrom": [[4.779, 0.000, 0.000], [0.000, 4.779, 0.000], [0.000, 0.000, 4.800]],
  "species": ["Dy", "Dy", "Y", "Ag"],
  "frac_coords": [[0.000, 0.500, 0.000], [0.500, 0.000, 0.000], [0.000, 0.000, 0.500], [0.500, 0.500, 0.500]],
  "total_magnetization_mub_per_cell": 0.00,
  "vol_a3_per_atom": 27.40,
  "e_above_lowest_polymorph_mev_per_atom": 150,
  "total_energy_ev_per_atom": -4.61
}

***

{
  "formula": "NaSr2Ag",
  "functional": "PBE",
  "state": "optimized geometry",
  "lattice_angstrom": [[4.028, 0.000, 0.000], [0.000, 4.028, 0.000], [0.000, 0.000, 9.240]],
  "species": ["Na", "Sr", "Sr", "Ag"],
  "frac_coords": [[0.000, 0.000, 0.000], [0.500, 0.500, 0.297], [0.500, 0.500, 0.703], [0.000, 0.000, 0.500]],
  "total_magnetization_mub_per_cell": 0.00,
  "vol_a3_per_atom": 37.48,
  "e_above_lowest_polymorph_mev_per_atom": 16,
  "total_energy_ev_per_atom": -2.02
}

***

{
  "formula": "CaMgZnAg3",
  "functional": "PBE",
  "state": "optimized geometry",
  "lattice_angstrom": [[3.439, -6.594, 0.000], [3.439, 6.594, 0.000], [0.000, 0.000, 5.856]],
  "species": ["Ca", "Ca", "Mg", "Mg", "Zn", "Zn", "Ag", "Ag", "Ag", "Ag", "Ag", "Ag"],
  "frac_coords": [[0.194, 0.806, 0.750], [0.806, 0.194, 0.250], [0.430, 0.570, 0.750], [0.570, 0.430, 0.250], [0.146, 0.854, 0.250], [0.854, 0.146, 0.750], [0.201, 0.201, 0.000], [0.201, 0.201, 0.500], [0.349, 0.651, 0.250], [0.651, 0.349, 0.750], [0.799, 0.799, 0.000], [0.799, 0.799, 0.500]],
  "total_magnetization_mub_per_cell": 0.00,
  "vol_a3_per_atom": 22.13,
  "total_energy_ev_per_atom": -2.31
}